A plane-wave DFT calculation with PBE with a Hubbard U was carried out for a geometry-optimized FeCo3F structure.

Electronic total energy   -4.066 eV per atom

CIF file:
```
data_FeCo3F
_chemical_formula_sum 'Fe1 Co3 F1'
_cell_length_a 4.108
_cell_length_b 4.108
_cell_length_c 4.108
_cell_angle_alpha 90.00
_cell_angle_beta 90.00
_cell_angle_gamma 90.00
_space_group_name_H-M_alt 'P 1'
_space_group_IT_number 1
loop_
_space_group_symop_operation_xyz
'x,y,z'
loop_
_atom_site_label
_atom_site_type_symbol
_atom_site_fract_x
_atom_site_fract_y
_atom_site_fract_z
Co1 Co 0.500 0.000 0.000
Fe1 Fe 0.500 0.500 0.500
F1 F 0.000 0.000 0.000
Co2 Co 0.000 0.500 0.000
Co3 Co 0.000 0.000 0.500
```